{"formula": "Cs2BaVO4", "functional": "PBE+U", "state": "optimized geometry", "lattice": [[0.000, 6.682, 13.243], [3.298, 0.000, 13.243], [3.298, 6.682, 0.000]], "species": ["Cs", "Cs", "Cs", "Cs", "Ba", "Ba", "V", "V", "O", "O", "O", "O", "O", "O", "O", "O"], "fractional_positions": [[0.064, 0.064, 0.686], [0.314, 0.314, 0.936], [0.686, 0.686, 0.064], [0.936, 0.936, 0.314], [0.125, 0.125, 0.125], [0.875, 0.875, 0.875], [0.375, 0.375, 0.375], [0.625, 0.625, 0.625], [0.099, 0.582, 0.497], [0.322, 0.497, 0.582], [0.418, 0.901, 0.678], [0.497, 0.322, 0.099], [0.503, 0.678, 0.901], [0.582, 0.099, 0.322], [0.678, 0.503, 0.418], [0.901, 0.418, 0.503]], "dft_energy_ev_per_cell": -90.0, "spacegroup": "Fddd", "magnetic_moment_mub_per_fu": 0.00}